# 1
Lu4TlSnN2: optimized geometry, PBE.

Electronic total energy   -50.14 eV/cell
Space-group type   P-6m2 (187)
Magnetization   0.0 μB per cell

Geometry as POSCAR:
```
Lu4TlSnN2
1.0
3.429 0.000 0.000
-1.715 2.970 0.000
0.000 0.000 15.135
Lu Tl Sn N
4 1 1 2
Direct
0.000 0.000 0.668
0.667 0.333 0.837
0.000 0.000 0.332
0.667 0.333 0.163
0.667 0.333 0.500
0.000 0.000 0.000
0.333 0.667 0.247
0.333 0.667 0.753
```

---

# 2
Y2Lu4Sn3N3: optimized geometry, PBE.

Electronic total energy   -164.82 eV/cell
Space-group type   C2/c (15)
Magnetization   0.0 μB per cell

Geometry as POSCAR:
```
Y2Lu4Sn3N3
1.0
-3.597 1.618 4.548
-2.723 -4.212 3.330
13.883 0.671 6.744
Sn N Lu Y
6 6 8 4
Direct
0.939 0.061 0.750
0.584 0.773 0.751
0.773 0.584 0.251
0.227 0.416 0.749
0.416 0.227 0.249
0.061 0.939 0.250
0.156 0.672 0.500
0.500 0.000 0.500
0.328 0.844 0.000
0.844 0.328 0.500
0.000 0.500 0.000
0.672 0.156 0.000
0.803 0.975 0.417
0.025 0.197 0.083
0.694 0.858 0.083
0.197 0.025 0.583
0.142 0.306 0.417
0.858 0.694 0.583
0.306 0.142 0.917
0.975 0.803 0.917
0.469 0.634 0.409
0.531 0.366 0.591
0.366 0.531 0.091
0.634 0.469 0.909
```

---

# 3
Y4Lu2Sn3N3: optimized geometry, PBE.

Electronic total energy   -172.34 eV/cell
Space-group type   C2/c (15)
Magnetization   0.0 μB per cell

Geometry as POSCAR:
```
Y4Lu2Sn3N3
1.0
1.007 3.193 -5.070
-2.530 -1.746 -5.241
-11.655 8.122 6.446
Y Sn Lu N
8 6 4 6
Direct
0.194 0.032 0.588
0.968 0.806 0.912
0.865 0.696 0.588
0.806 0.968 0.412
0.135 0.304 0.412
0.696 0.865 0.088
0.304 0.135 0.912
0.032 0.194 0.088
0.417 0.268 0.251
0.268 0.417 0.751
0.732 0.583 0.249
0.103 0.897 0.250
0.583 0.732 0.749
0.897 0.103 0.750
0.527 0.358 0.581
0.473 0.642 0.419
0.642 0.473 0.919
0.358 0.527 0.081
0.661 0.178 0.000
0.000 0.500 0.000
0.822 0.339 0.500
0.178 0.661 0.500
0.339 0.822 0.000
0.500 0.000 0.500
```

---

# 4
Lu4ZnSnN2: optimized geometry, PBE.

Electronic total energy   -48.64 eV/cell
Space-group type   P-6m2 (187)
Magnetization   0.0 μB per cell

Geometry as POSCAR:
```
Lu4ZnSnN2
1.0
-0.097 -0.633 -3.358
0.609 -2.543 2.202
-14.408 -2.654 0.919
Lu Sn Zn N
4 1 1 2
Direct
0.000 0.000 0.846
0.333 0.667 0.669
0.333 0.667 0.331
0.000 0.000 0.154
0.000 0.000 0.500
0.333 0.667 0.000
0.667 0.333 0.248
0.667 0.333 0.752
```

---

# 5
Lu2Zr4Sn3N3: optimized geometry, PBE.

Electronic total energy   -187.97 eV/cell
Space-group type   C2/c (15)
Magnetization   0.0 μB per cell

Geometry as POSCAR:
```
Lu2Zr4Sn3N3
1.0
5.032 -2.910 0.000
5.032 2.910 0.000
-3.346 0.000 14.731
N Lu Zr Sn
6 4 8 6
Direct
0.000 0.500 0.000
0.335 0.831 0.000
0.665 0.169 0.000
0.831 0.335 0.500
0.169 0.665 0.500
0.500 0.000 0.500
0.529 0.365 0.589
0.471 0.635 0.411
0.635 0.471 0.911
0.365 0.529 0.089
0.305 0.140 0.917
0.860 0.695 0.583
0.973 0.805 0.917
0.195 0.027 0.583
0.027 0.195 0.083
0.805 0.973 0.417
0.695 0.860 0.083
0.140 0.305 0.417
0.071 0.929 0.250
0.417 0.237 0.250
0.763 0.583 0.250
0.583 0.763 0.750
0.237 0.417 0.750
0.929 0.071 0.750
```

---

# 6
Lu2Ta4Tl3N3: optimized geometry, PBE.

Electronic total energy   -190.99 eV/cell
Space-group type   C2/c (15)
Magnetization   0.0 μB per cell

Geometry as POSCAR:
```
Lu2Ta4Tl3N3
1.0
-1.781 5.486 0.452
-4.122 1.348 3.829
11.710 0.161 8.317
N Ta Lu Tl
6 8 4 6
Direct
0.500 0.000 0.000
0.000 0.500 0.500
0.818 0.341 0.000
0.341 0.818 0.500
0.659 0.182 0.500
0.182 0.659 0.000
0.031 0.186 0.571
0.860 0.695 0.071
0.186 0.031 0.071
0.814 0.969 0.929
0.695 0.860 0.571
0.140 0.305 0.929
0.969 0.814 0.429
0.305 0.140 0.429
0.632 0.469 0.405
0.531 0.368 0.095
0.469 0.632 0.905
0.368 0.531 0.595
0.960 0.040 0.250
0.419 0.204 0.750
0.796 0.581 0.750
0.581 0.796 0.250
0.040 0.960 0.750
0.204 0.419 0.250
```

---

# 7
Lu2Tl3W4N3: optimized geometry, PBE.

Electronic total energy   -189.10 eV/cell
Space-group type   C2/c (15)
Magnetization   0.0 μB per cell

Geometry as POSCAR:
```
Lu2Tl3W4N3
1.0
4.986 -2.902 0.000
4.986 2.902 0.000
-3.193 0.000 13.673
N Tl W Lu
6 6 8 4
Direct
0.000 0.500 0.000
0.187 0.657 0.500
0.500 0.000 0.500
0.813 0.343 0.500
0.657 0.187 0.000
0.343 0.813 0.000
0.968 0.032 0.750
0.201 0.418 0.754
0.032 0.968 0.250
0.799 0.582 0.246
0.418 0.201 0.254
0.582 0.799 0.746
0.689 0.874 0.068
0.958 0.826 0.932
0.311 0.126 0.932
0.826 0.958 0.432
0.042 0.174 0.068
0.174 0.042 0.568
0.874 0.689 0.568
0.126 0.311 0.432
0.640 0.471 0.903
0.360 0.529 0.097
0.471 0.640 0.403
0.529 0.360 0.597
```

---

# 8
Lu4Zr2Tl3N3: optimized geometry, PBE.

Electronic total energy   -159.43 eV/cell
Space-group type   C2/c (15)
Magnetization   0.0 μB per cell

Geometry as POSCAR:
```
Lu4Zr2Tl3N3
1.0
-4.737 -1.411 -3.228
-0.789 -5.569 -1.794
-5.861 -0.630 14.304
Lu Tl N Zr
8 6 6 4
Direct
0.030 0.194 0.585
0.695 0.863 0.585
0.194 0.030 0.085
0.806 0.970 0.915
0.863 0.695 0.085
0.305 0.137 0.415
0.970 0.806 0.415
0.137 0.305 0.915
0.732 0.584 0.750
0.100 0.900 0.750
0.584 0.732 0.250
0.900 0.100 0.250
0.268 0.416 0.250
0.416 0.268 0.750
0.165 0.668 0.000
0.332 0.835 0.500
0.835 0.332 0.000
0.500 0.000 0.000
0.000 0.500 0.500
0.668 0.165 0.500
0.526 0.359 0.078
0.641 0.474 0.422
0.359 0.526 0.578
0.474 0.641 0.922
```

---

# 9
Lu4Zn3W2N3: optimized geometry, PBE.

Electronic total energy   -163.48 eV/cell
Space-group type   C2/c (15)
Magnetization   0.0 μB per cell

Geometry as POSCAR:
```
Lu4Zn3W2N3
1.0
4.918 -2.862 0.000
4.918 2.862 0.000
-3.337 0.000 13.409
Lu W N Zn
8 4 6 6
Direct
0.302 0.124 0.398
0.698 0.876 0.602
0.040 0.196 0.602
0.876 0.698 0.102
0.124 0.302 0.898
0.196 0.040 0.102
0.804 0.960 0.898
0.960 0.804 0.398
0.354 0.523 0.570
0.523 0.354 0.070
0.646 0.477 0.430
0.477 0.646 0.930
0.000 0.500 0.500
0.669 0.163 0.500
0.163 0.669 0.000
0.837 0.331 0.000
0.500 0.000 0.000
0.331 0.837 0.500
0.331 0.415 0.251
0.160 0.840 0.750
0.415 0.331 0.751
0.585 0.669 0.249
0.840 0.160 0.250
0.669 0.585 0.749
```

---

# 10
Y2Lu4Zn3N3: optimized geometry, PBE.

Electronic total energy   -142.19 eV/cell
Space-group type   C2/c (15)
Magnetization   2.1 μB per cell

Geometry as POSCAR:
```
Y2Lu4Zn3N3
1.0
-5.842 0.195 0.318
3.075 -2.594 4.253
3.566 13.607 5.550
Lu Zn N Y
8 6 6 4
Direct
0.389 0.856 0.083
0.382 0.021 0.583
0.727 0.694 0.583
0.611 0.144 0.917
0.618 0.979 0.417
0.062 0.202 0.083
0.273 0.306 0.417
0.938 0.798 0.917
0.835 0.104 0.250
0.165 0.896 0.750
0.354 0.585 0.250
0.319 0.069 0.250
0.681 0.931 0.750
0.646 0.415 0.750
0.663 0.332 0.500
0.000 0.000 0.500
0.668 0.837 0.000
0.332 0.163 0.000
0.337 0.668 0.500
0.000 0.500 0.000
0.929 0.626 0.390
0.071 0.374 0.610
0.736 0.539 0.110
0.264 0.461 0.890
```

---

# 11
Lu3ZnN2: optimized geometry, PBE.

Electronic total energy   -78.13 eV/cell
Space-group type   P6_3/mmc (194)
Magnetization   0.4 μB per cell

Geometry as POSCAR:
```
Lu3ZnN2
1.0
3.360 0.000 0.000
-1.680 2.910 0.000
0.000 0.000 20.141
Lu Zn N
6 2 4
Direct
0.333 0.667 0.867
0.667 0.333 0.367
0.000 0.000 0.000
0.667 0.333 0.133
0.000 0.000 0.500
0.333 0.667 0.633
0.000 0.000 0.750
0.000 0.000 0.250
0.333 0.667 0.431
0.667 0.333 0.569
0.333 0.667 0.069
0.667 0.333 0.931
```

---

# 12
Lu4ZnN3: optimized geometry, PBE.

Electronic total energy   -111.41 eV/cell
Space-group type   P6_3/mmc (194)
Magnetization   0.7 μB per cell

Geometry as POSCAR:
```
Lu4ZnN3
1.0
-2.958 -0.970 -1.253
2.671 -2.017 -0.249
-6.004 -10.727 22.479
Zn N Lu
2 6 8
Direct
0.667 0.333 0.750
0.333 0.667 0.250
0.000 0.000 0.500
0.667 0.333 0.392
0.667 0.333 0.108
0.333 0.667 0.608
0.000 0.000 0.000
0.333 0.667 0.892
0.000 0.000 0.658
0.333 0.667 0.052
0.000 0.000 0.158
0.000 0.000 0.342
0.333 0.667 0.448
0.667 0.333 0.552
0.000 0.000 0.842
0.667 0.333 0.948
```

---

# 13
Lu4Zr2Zn3N3: optimized geometry, PBE.

Electronic total energy   -150.77 eV/cell
Space-group type   C2/c (15)
Magnetization   0.1 μB per cell

Geometry as POSCAR:
```
Lu4Zr2Zn3N3
1.0
2.147 2.948 4.517
-2.636 4.834 1.842
-7.928 -10.379 6.856
Lu Zr Zn N
8 4 6 6
Direct
0.195 0.035 0.096
0.805 0.965 0.904
0.303 0.130 0.404
0.035 0.195 0.596
0.965 0.805 0.404
0.697 0.870 0.596
0.870 0.697 0.096
0.130 0.303 0.904
0.644 0.474 0.420
0.474 0.644 0.920
0.526 0.356 0.080
0.356 0.526 0.580
0.410 0.317 0.750
0.683 0.590 0.750
0.142 0.858 0.750
0.317 0.410 0.250
0.858 0.142 0.250
0.590 0.683 0.250
0.835 0.332 0.000
0.500 0.000 0.000
0.332 0.835 0.500
0.000 0.500 0.500
0.165 0.668 0.000
0.668 0.165 0.500
```

---

# 14
NaLu2: optimized geometry, PBE.

Electronic total energy   -17.99 eV/cell
Space-group type   Fd-3m (227)
Magnetization   0.7 μB per cell

Geometry as POSCAR:
```
NaLu2
1.0
0.000 4.632 4.632
4.632 0.000 4.632
4.632 4.632 0.000
Lu Na
4 2
Direct
0.625 0.625 0.625
0.625 0.625 0.125
0.625 0.125 0.625
0.125 0.625 0.625
0.250 0.250 0.250
0.000 0.000 0.000
```

---

# 15
NaLuNiPb: optimized geometry, PBE.

Electronic total energy   -15.06 eV/cell
Space-group type   F-43m (216)
Magnetization   0.0 μB per cell

Geometry as POSCAR:
```
NaLuNiPb
1.0
0.000 3.510 3.510
3.510 0.000 3.510
3.510 3.510 0.000
Ni Na Lu Pb
1 1 1 1
Direct
0.500 0.500 0.500
0.750 0.750 0.750
0.250 0.250 0.250
0.000 0.000 0.000
```

---

# 16
NaLuNiPb: optimized geometry, PBE.

Electronic total energy   -15.52 eV/cell
Space-group type   F-43m (216)
Magnetization   0.0 μB per cell

Geometry as POSCAR:
```
NaLuNiPb
1.0
0.000 3.411 3.411
3.411 0.000 3.411
3.411 3.411 0.000
Lu Ni Na Pb
1 1 1 1
Direct
0.500 0.500 0.500
0.250 0.250 0.250
0.750 0.750 0.750
0.000 0.000 0.000
```

---

# 17
NaLuNiS3: optimized geometry, PBE.

Electronic total energy   -62.62 eV/cell
Space-group type   P2_1/m (11)
Magnetization   2.5 μB per cell

Geometry as POSCAR:
```
NaLuNiS3
1.0
7.920 0.000 0.000
0.000 3.813 0.000
-2.101 0.000 8.608
S Lu Na Ni
6 2 2 2
Direct
0.301 0.250 0.965
0.593 0.250 0.353
0.699 0.750 0.035
0.940 0.750 0.662
0.407 0.750 0.647
0.060 0.250 0.338
0.172 0.250 0.645
0.828 0.750 0.355
0.307 0.750 0.284
0.693 0.250 0.716
0.579 0.250 0.093
0.421 0.750 0.907
```